# BaMo2As

An optimized crystal structure of BaMo2As (PBE-GGA, Alexandria via LeMat-Bulk).

ΔH_f (0 K) ... 0.686 eV per atom

a = 6.0287 Å, b = 6.0287 Å, c = 6.0287 Å
α = 148.83°, β = 121.03°, γ = 68.21°
Last column: nearest neighbours and their distance in Å.
Atoms (fractional coordinates):
Ba  0.0000  0.0000  0.0000  2 Ba 3.24, 4 As 3.33-3.63, 8 Mo 3.38-3.53
Mo  0.3084  0.8084  0.5000  2 Mo 2.40
Mo  0.4857  0.4857  0.0000  2 Mo 2.40
As  0.7091  0.2091  0.5000  2 Mo 2.76

***

# Ba12Ag3S5

An optimized crystal structure of Ba12Ag3S5 (PBE-GGA, Alexandria via LeMat-Bulk).

Formation energy (no corrections) ... -0.91 eV per atom

a = 16.8250 Å, b = 16.8250 Å, c = 16.8250 Å
α = 109.47°, β = 109.47°, γ = 109.47°
Last column: nearest neighbours and their distance in Å.
Atoms (fractional coordinates):
Ba  0.0354  0.2117  0.1250  2 S 2.98-3.20
Ba  0.0354  0.3237  0.9104  2 S 2.98-3.20
Ba  0.0866  0.7117  0.6763  2 S 2.98-3.20
Ba  0.0866  0.8750  0.4104  2 S 2.98-3.20
Ba  0.0896  0.6250  0.4134  2 S 2.98-3.20
Ba  0.0896  0.9646  0.6763  2 S 2.98-3.20
Ba  0.1250  0.0354  0.2117  2 S 2.98-3.20
Ba  0.1250  0.5896  0.9134  2 S 2.98-3.20
Ba  0.1763  0.2117  0.5866  2 S 2.98-3.20
Ba  0.1763  0.4646  0.5896  2 S 2.98-3.20
Ba  0.2117  0.1250  0.0354  2 S 2.98-3.20
Ba  0.2117  0.5866  0.1763  2 S 2.98-3.20
Ba  0.2883  0.3237  0.9134  2 S 2.98-3.20
Ba  0.2883  0.4646  0.3750  2 S 2.98-3.20
Ba  0.3237  0.9104  0.0354  2 S 2.98-3.20
Ba  0.3237  0.9134  0.2883  2 S 2.98-3.20
Ba  0.3750  0.2883  0.4646  2 S 2.98-3.20
Ba  0.3750  0.5866  0.9104  2 S 2.98-3.20
Ba  0.4104  0.0866  0.8750  2 S 2.98-3.20
Ba  0.4104  0.8237  0.5354  2 S 2.98-3.20
Ba  0.4134  0.0896  0.6250  2 S 2.98-3.20
Ba  0.4134  0.8237  0.7883  2 S 2.98-3.20
Ba  0.4646  0.3750  0.2883  2 S 2.98-3.20
Ba  0.4646  0.5896  0.1763  2 S 2.98-3.20
Ba  0.5354  0.4104  0.8237  2 S 2.98-3.20
Ba  0.5354  0.6250  0.7117  2 S 2.98-3.20
Ba  0.5866  0.1763  0.2117  2 S 2.98-3.20
Ba  0.5866  0.9104  0.3750  2 S 2.98-3.20
Ba  0.5896  0.1763  0.4646  2 S 2.98-3.20
Ba  0.5896  0.9134  0.1250  2 S 2.98-3.20
Ba  0.6250  0.4134  0.0896  2 S 2.98-3.20
Ba  0.6250  0.7117  0.5354  2 S 2.98-3.20
Ba  0.6763  0.0866  0.7117  2 S 2.98-3.20
Ba  0.6763  0.0896  0.9646  2 S 2.98-3.20
Ba  0.7117  0.5354  0.6250  2 S 2.98-3.20
Ba  0.7117  0.6763  0.0866  2 S 2.98-3.20
Ba  0.7883  0.4134  0.8237  2 S 2.98-3.20
Ba  0.7883  0.8750  0.9646  2 S 2.98-3.20
Ba  0.8237  0.5354  0.4104  2 S 2.98-3.20
Ba  0.8237  0.7883  0.4134  2 S 2.98-3.20
Ba  0.8750  0.4104  0.0866  2 S 2.98-3.20
Ba  0.8750  0.9646  0.7883  2 S 2.98-3.20
Ba  0.9104  0.0354  0.3237  2 S 2.98-3.20
Ba  0.9104  0.3750  0.5866  2 S 2.98-3.20
Ba  0.9134  0.1250  0.5896  2 S 2.98-3.20
Ba  0.9134  0.2883  0.3237  2 S 2.98-3.20
Ba  0.9646  0.6763  0.0896  2 S 2.98-3.20
Ba  0.9646  0.7883  0.8750  2 S 2.98-3.20
Ag  0.1250  0.2500  0.3750  8 Ba 3.70-3.74
Ag  0.1250  0.3750  0.7500  8 Ba 3.70-3.74
Ag  0.2500  0.3750  0.1250  8 Ba 3.70-3.74
Ag  0.2500  0.8750  0.6250  8 Ba 3.70-3.74
Ag  0.3750  0.1250  0.2500  8 Ba 3.70-3.74
Ag  0.3750  0.7500  0.1250  8 Ba 3.70-3.74
Ag  0.6250  0.2500  0.8750  8 Ba 3.70-3.74
Ag  0.6250  0.8750  0.7500  8 Ba 3.70-3.74
Ag  0.7500  0.1250  0.3750  8 Ba 3.70-3.74
Ag  0.7500  0.6250  0.8750  8 Ba 3.70-3.74
Ag  0.8750  0.6250  0.2500  8 Ba 3.70-3.74
Ag  0.8750  0.7500  0.6250  8 Ba 3.70-3.74
S  0.0000  0.0000  0.0000  6 Ba 3.20
S  0.0000  0.0000  0.5000  6 Ba 3.20
S  0.0000  0.5000  0.0000  6 Ba 3.20
S  0.0000  0.5000  0.5000  6 Ba 3.20
S  0.1250  0.7500  0.8750  4 Ba 2.98
S  0.1250  0.8750  0.2500  4 Ba 2.98
S  0.2500  0.1250  0.8750  4 Ba 2.98
S  0.2500  0.6250  0.3750  4 Ba 2.98
S  0.3750  0.2500  0.6250  4 Ba 2.98
S  0.3750  0.6250  0.7500  4 Ba 2.98
S  0.5000  0.0000  0.0000  6 Ba 3.20
S  0.5000  0.0000  0.5000  6 Ba 3.20
S  0.5000  0.5000  0.0000  6 Ba 3.20
S  0.5000  0.5000  0.5000  6 Ba 3.20
S  0.6250  0.3750  0.2500  4 Ba 2.98
S  0.6250  0.7500  0.3750  4 Ba 2.98
S  0.7500  0.3750  0.6250  4 Ba 2.98
S  0.7500  0.8750  0.1250  4 Ba 2.98
S  0.8750  0.1250  0.7500  4 Ba 2.98
S  0.8750  0.2500  0.1250  4 Ba 2.98

***

# Pm2Sm3HoAs6

An optimized crystal structure of Pm2Sm3HoAs6 (PBE-GGA, Alexandria via LeMat-Bulk).

ΔH_f (0 K) ... -1.524 eV per atom

a = 9.3992 Å, b = 9.3992 Å, c = 8.4064 Å
α = 102.93°, β = 102.93°, γ = 25.86°
Last column: nearest neighbours and their distance in Å.
Atoms (fractional coordinates):
Pm  0.1659  0.1659  0.3322  6 As 2.97-2.99
Pm  0.8341  0.8341  0.6678  6 As 2.97-2.99
Sm  0.1671  0.1671  0.8339  6 As 2.96-3.00
Sm  0.5000  0.5000  0.5000  6 As 2.97-3.00
Sm  0.8329  0.8329  0.1661  6 As 2.96-3.00
Ho  0.5000  0.5000  0.0000  6 As 2.94
As  0.0008  0.0008  0.7553  2 Ho 2.94, 3 Sm 2.97-3.00, 1 Pm 2.97
As  0.3336  0.3336  0.4159  3 Sm 2.97, 3 Pm 2.98-2.99
As  0.3353  0.3353  0.9189  1 Ho 2.94, 3 Sm 2.96-3.00, 2 Pm 2.98
As  0.6647  0.6647  0.0811  1 Ho 2.94, 3 Sm 2.96-3.00, 2 Pm 2.98
As  0.6664  0.6664  0.5841  3 Sm 2.97, 3 Pm 2.98-2.99
As  0.9992  0.9992  0.2447  2 Ho 2.94, 3 Sm 2.97-3.00, 1 Pm 2.97

***

# GeB2PdRu

An optimized crystal structure of GeB2PdRu (PBE-GGA, Alexandria via LeMat-Bulk).

ΔH_f (0 K) ... 1.237 eV per atom

a = 3.8507 Å, b = 3.8507 Å, c = 5.5655 Å
α = 90.00°, β = 90.00°, γ = 90.00°
Last column: nearest neighbours and their distance in Å.
Atoms (fractional coordinates):
Ge  0.0000  0.0000  0.0000  4 Ru 2.72
B  0.0000  0.5000  0.5000  2 Pd 1.93
B  0.5000  0.0000  0.5000  2 Pd 1.93
Pd  0.5000  0.5000  0.5000  4 B 1.93
Ru  0.5000  0.5000  0.0000  4 Ge 2.72, 2 Pd 2.78

***

What is the formula in the first record?
BaMo2As

***

Which formula does entry 4 have?
GeB2PdRu